Material: SrGe3
Method: DFT, SCAN
State: PBEsol geometry

Results
Calculated formation energy: -311 meV per atom
Calculated volume: 352 Å³ per cell
SG: I4/mmm

Lattice parameters (Å, degrees): 7.676 8.067 7.676 61.59 90.00 118.41
Fractional positions:
Ge1 0.000 0.000 0.664
Ge2 0.336 0.000 0.000
Ge3 0.000 0.000 0.336
Ge4 0.789 0.215 0.574
Ge5 0.574 0.785 0.426
Ge6 0.574 0.785 0.789
Ge7 0.789 0.215 0.211
Ge8 0.664 0.000 0.000
Ge9 0.211 0.785 0.426
Ge10 0.426 0.215 0.211
Ge11 0.211 0.785 0.789
Ge12 0.426 0.215 0.574
Sr1 0.250 0.500 0.250
Sr2 0.830 0.660 0.170
Sr3 0.170 0.340 0.830
Sr4 0.750 0.500 0.750



Material: SrTc2Ge2
Method: DFT, SCAN
State: PBEsol geometry

Results
Calculated formation energy: -310 meV per atom
Calculated volume: 94 Å³ per cell
SG: I4/mmm

Lattice parameters (Å, degrees): 4.104 4.104 6.272 109.10 109.10 90.00
Fractional positions:
Tc1 0.750 0.250 0.500
Tc2 0.250 0.750 0.500
Ge1 0.623 0.623 0.246
Ge2 0.377 0.377 0.754
Sr1 0.000 0.000 0.000



Material: SrZn2Ge2
Method: DFT, SCAN
State: PBEsol geometry

Results
Calculated formation energy: -387 meV per atom
Calculated volume: 100 Å³ per cell
SG: I4/mmm

Lattice parameters (Å, degrees): 4.347 4.347 6.109 110.84 110.84 90.00
Fractional positions:
Zn1 0.384 0.384 0.769
Zn2 0.616 0.616 0.231
Ge1 0.750 0.250 0.500
Ge2 0.250 0.750 0.500
Sr1 0.000 0.000 0.000



Material: Sr3ZnGe
Method: DFT, SCAN
State: PBEsol geometry

Results
Calculated formation energy: -69 meV per atom
Calculated volume: 216 Å³ per cell
SG: Pm-3m

Lattice parameters (Å, degrees): 5.998 5.998 5.998 90.00 90.00 90.00
Site moments in Bohr magnetons follow the coordinates.
Fractional positions:
Sr1 0.500 0.000 0.000  0.04
Sr2 0.000 0.500 0.000  0.04
Sr3 0.000 0.000 0.500  0.04
Ge1 0.000 0.000 0.000  0.04
Zn1 0.500 0.500 0.500  0.07



Material: Ta5Ge3
Method: DFT, SCAN
State: PBEsol geometry

Results
Calculated formation energy: -428 meV per atom
Calculated volume: 261 Å³ per cell
SG: I4/mcm

Lattice parameters (Å, degrees): 6.601 7.586 6.601 64.21 90.00 115.79
Fractional positions:
Ta1 0.315 0.308 0.185
Ta2 0.500 0.000 0.500
Ta3 0.685 0.692 0.815
Ta4 0.493 0.308 0.685
Ta5 0.185 0.692 0.993
Ta6 0.007 0.692 0.493
Ta7 0.507 0.692 0.315
Ta8 0.993 0.308 0.507
Ta9 0.815 0.308 0.007
Ta10 0.000 0.000 0.000
Ge1 0.250 0.500 0.750
Ge2 0.364 0.000 0.136
Ge3 0.750 0.500 0.250
Ge4 0.636 0.000 0.864
Ge5 0.136 0.000 0.636
Ge6 0.864 0.000 0.364



Material: Ta5Ge3
Method: DFT, SCAN
State: PBEsol geometry

Results
Calculated formation energy: -322 meV per atom
Calculated volume: 262 Å³ per cell
SG: P6_3/mcm

Lattice parameters (Å, degrees): 5.280 7.571 7.571 120.00 90.00 90.00
Fractional positions:
Ge1 0.750 0.604 0.000
Ge2 0.250 0.604 0.604
Ge3 0.250 0.000 0.396
Ge4 0.750 0.000 0.604
Ge5 0.250 0.396 0.000
Ge6 0.750 0.396 0.396
Ta1 0.500 0.333 0.667
Ta2 0.000 0.667 0.333
Ta3 0.250 0.239 0.239
Ta4 0.500 0.667 0.333
Ta5 0.250 0.000 0.761
Ta6 0.750 0.000 0.239
Ta7 0.750 0.239 0.000
Ta8 0.750 0.761 0.761
Ta9 0.000 0.333 0.667
Ta10 0.250 0.761 0.000